Record 1
## Er2GaFe2Co5 (GGA-PBE)

Data for a geometry-optimized Er2GaFe2Co5 structure.

a b c (Å): 3.6002 8.9637 8.9637
angles (deg): 90.00 90.00 90.00
With the nearest neighbours (Å) after each atom.
Fractional coordinates of all 20 atoms:
1 Er 0.0000 0.6822 0.1822  3 Fe 2.57-2.73
2 Er 0.0000 0.3178 0.8178  3 Fe 2.57-2.73
3 Er 0.0000 0.1822 0.3178  3 Fe 2.57-2.73
4 Er 0.0000 0.8178 0.6822  3 Fe 2.57-2.73
5 Ga 0.0000 0.0000 0.0000  8 Co 2.64
6 Ga 0.0000 0.5000 0.5000  8 Co 2.64
7 Fe 0.0000 0.1152 0.6152  6 Co 2.32-2.46, 1 Er 2.57
8 Fe 0.0000 0.8848 0.3848  6 Co 2.32-2.46, 1 Er 2.57
9 Fe 0.0000 0.6152 0.8848  6 Co 2.32-2.46, 1 Er 2.57
10 Fe 0.0000 0.3848 0.1152  6 Co 2.32-2.46, 1 Er 2.57
11 Co 0.5000 0.2074 0.0582  2 Fe 2.46, 2 Ga 2.64, 3 Co 2.67-2.73
12 Co 0.5000 0.7926 0.9418  2 Fe 2.46, 2 Ga 2.64, 3 Co 2.67-2.73
13 Co 0.5000 0.0582 0.7926  2 Fe 2.46, 2 Ga 2.64, 3 Co 2.67-2.73
14 Co 0.5000 0.7074 0.4418  2 Fe 2.46, 2 Ga 2.64, 3 Co 2.67-2.73
15 Co 0.5000 0.9418 0.2074  2 Fe 2.46, 2 Ga 2.64, 3 Co 2.67-2.73
16 Co 0.5000 0.2926 0.5582  2 Fe 2.46, 2 Ga 2.64, 3 Co 2.67-2.73
17 Co 0.5000 0.5582 0.7074  2 Fe 2.46, 2 Ga 2.64, 3 Co 2.67-2.73
18 Co 0.5000 0.4418 0.2926  2 Fe 2.46, 2 Ga 2.64, 3 Co 2.67-2.73
19 Co 0.5000 0.5000 0.0000  4 Fe 2.32
20 Co 0.5000 0.0000 0.5000  4 Fe 2.32

Properties
Mass density in g/cm3: 9.3
DFT formation energy in eV/f.u.: -0.76

=====

Record 2
## GdErFeCo (GGA-PBE)

Data for a geometry-optimized GdErFeCo structure.

a b c (Å): 4.7480 4.7480 4.7480
angles (deg): 60.00 60.00 60.00
With the nearest neighbours (Å) after each atom.
Fractional coordinates of all 4 atoms:
1 Gd 0.5000 0.5000 0.5000  4 Fe 2.91, 4 Co 2.91
2 Co 0.2500 0.2500 0.2500  4 Gd 2.91, 4 Er 2.91
3 Fe 0.7500 0.7500 0.7500  4 Gd 2.91, 4 Er 2.91
4 Er 0.0000 0.0000 0.0000  4 Fe 2.91, 4 Co 2.91

Properties
Mass density in g/cm3: 9.6
DFT formation energy in eV/f.u.: 0.12

=====

Record 3
## ErFeCoGe3 (GGA-PBE)

Data for a geometry-optimized ErFeCoGe3 structure.

a b c (Å): 5.5762 7.3409 6.4428
angles (deg): 124.73 90.00 90.00
With the nearest neighbours (Å) after each atom.
Fractional coordinates of all 12 atoms:
1 Er 0.7500 0.2529 0.5058  2 Ge 2.79, 1 Co 2.99
2 Er 0.2500 0.7471 0.4942  2 Ge 2.79, 1 Co 2.99
3 Fe 0.2500 0.0456 0.0912  5 Ge 2.22-2.35
4 Fe 0.7500 0.9544 0.9088  5 Ge 2.22-2.35
5 Co 0.2500 0.4644 0.9287  5 Ge 2.22-2.34
6 Co 0.7500 0.5356 0.0713  5 Ge 2.22-2.34
7 Ge 0.2500 0.2551 0.5101  1 Co 2.22, 1 Fe 2.22
8 Ge 0.0000 0.2499 0.0000  2 Co 2.34, 2 Fe 2.35
9 Ge 0.5000 0.7501 0.0000  2 Co 2.34, 2 Fe 2.35
10 Ge 0.5000 0.2499 0.0000  2 Co 2.34, 2 Fe 2.35
11 Ge 0.0000 0.7501 0.0000  2 Co 2.34, 2 Fe 2.35
12 Ge 0.7500 0.7449 0.4899  1 Co 2.22, 1 Fe 2.22

Properties
Mass density in g/cm3: 7.7
DFT formation energy in eV/f.u.: -1.00

=====

Record 4
## ErHfFeCo (GGA-PBE)

Data for a geometry-optimized ErHfFeCo structure.

a b c (Å): 4.5412 4.5412 4.5412
angles (deg): 60.00 60.00 60.00
With the nearest neighbours (Å) after each atom.
Fractional coordinates of all 4 atoms:
1 Co 0.2500 0.2500 0.2500  4 Hf 2.78, 4 Er 2.78
2 Hf 0.5000 0.5000 0.5000  4 Fe 2.78, 4 Co 2.78
3 Fe 0.7500 0.7500 0.7500  4 Hf 2.78, 4 Er 2.78
4 Er 0.0000 0.0000 0.0000  4 Fe 2.78, 4 Co 2.78

Properties
Mass density in g/cm3: 11.5
DFT formation energy in eV/f.u.: -0.66